[1]
# KMnCoAs2

A geometry-optimized KMnCoAs2 structure (PBE, Alexandria).

Summary:
energy of formation	-386.7	meV per atom
spin magnetization	1.33	μB per formula unit
raw total energy	-57.2	eV per cell
crystal system	tetragonal

a b c (Å): 3.8740 3.8740 13.9039
angles (deg): 90.00 90.00 90.00
Closest atoms and distances in Å follow each position.
Fractional coordinates of all 10 atoms:
K  0.0000  0.0000  0.0000  8 As 3.46
K  0.5000  0.5000  0.5000  8 As 3.46
Mn  0.0000  0.5000  0.7500  4 As 2.37
Mn  0.5000  0.0000  0.2500  4 As 2.37
Co  0.0000  0.5000  0.2500  4 As 2.37
Co  0.5000  0.0000  0.7500  4 As 2.37
As  0.0000  0.0000  0.3483  2 Mn 2.37, 2 Co 2.37
As  0.0000  0.0000  0.6517  2 Mn 2.37, 2 Co 2.37
As  0.5000  0.5000  0.1517  2 Mn 2.37, 2 Co 2.37
As  0.5000  0.5000  0.8483  2 Mn 2.37, 2 Co 2.37

=====

[2]
# LaCdOs2

A geometry-optimized LaCdOs2 structure (PBE, Alexandria).

Summary:
energy of formation	624.1	meV per atom
spin magnetization	0.00	μB per formula unit
raw total energy	-51.6	eV per cell
crystal system	monoclinic

a b c (Å): 6.1103 9.4858 2.9310
angles (deg): 90.00 116.49 90.00
Closest atoms and distances in Å follow each position.
Fractional coordinates of all 8 atoms:
La  0.0000  0.0000  0.0000  4 Os 2.85, 2 La 2.93, 4 Cd 3.06-3.15
La  0.5000  0.5000  0.0000  4 Os 2.85, 2 La 2.93, 4 Cd 3.06-3.15
Cd  0.0000  0.5000  0.0000  4 Os 2.85, 2 Cd 2.93, 4 La 3.06-3.15
Cd  0.5000  0.0000  0.0000  4 Os 2.85, 2 Cd 2.93, 4 La 3.06-3.15
Os  0.2500  0.2500  0.5000  2 Cd 2.85, 2 La 2.85, 6 Os 2.93-3.15
Os  0.2500  0.7500  0.5000  2 Cd 2.85, 2 La 2.85, 6 Os 2.93-3.15
Os  0.7500  0.2500  0.5000  2 Cd 2.85, 2 La 2.85, 6 Os 2.93-3.15
Os  0.7500  0.7500  0.5000  2 Cd 2.85, 2 La 2.85, 6 Os 2.93-3.15

=====

[3]
# LiYMo2Ir

A geometry-optimized LiYMo2Ir structure (PBE, Alexandria).

Summary:
energy of formation	889.1	meV per atom
spin magnetization	0.70	μB per formula unit
raw total energy	-34.5	eV per cell
crystal system	tetragonal

a b c (Å): 4.8124 4.8124 5.3557
angles (deg): 90.00 90.00 90.00
Closest atoms and distances in Å follow each position.
Fractional coordinates of all 5 atoms:
Li  0.0000  0.0000  0.0000  4 Y 3.40, 8 Mo 3.60
Y  0.5000  0.5000  0.0000  2 Ir 2.68
Mo  0.0000  0.5000  0.5000  2 Ir 2.41
Mo  0.5000  0.0000  0.5000  2 Ir 2.41
Ir  0.5000  0.5000  0.5000  4 Mo 2.41, 2 Y 2.68

=====

Q: Which value of spin magnetization does entry 1 give?
A: 1.33 μB per formula unit